(1)
# PBE RePdNO, optimized geometry
data_RePdNO
_chemical_formula_sum 'Re2 Pd2 N2 O2'
_symmetry_space_group_name_H-M 'P m c 21'
_symmetry_Int_Tables_number 26
_cell_length_a 2.798
_cell_length_b 6.055
_cell_length_c 5.803
_cell_angle_alpha 90.00
_cell_angle_beta 90.00
_cell_angle_gamma 90.00
loop_
_symmetry_equiv_pos_as_xyz
'x,y,z'
'-x,-y,z+1/2'
'-x,y,z'
'x,-y,z+1/2'
loop_
_atom_site_label
_atom_site_fract_x
_atom_site_fract_y
_atom_site_fract_z
Re1 0.000 0.128 0.000
Pd1 0.500 0.278 0.428
N1 0.000 0.141 0.677
O1 0.500 0.365 0.056
# E above lowest polymorph (eV/atom): 0.0000


(2)
# PBE RePdNO, optimized geometry
data_RePdNO
_chemical_formula_sum 'Re2 Pd2 N2 O2'
_symmetry_space_group_name_H-M 'P m c 21'
_symmetry_Int_Tables_number 26
_cell_length_a 3.281
_cell_length_b 6.527
_cell_length_c 5.497
_cell_angle_alpha 90.00
_cell_angle_beta 90.00
_cell_angle_gamma 90.00
loop_
_symmetry_equiv_pos_as_xyz
'x,y,z'
'-x,-y,z+1/2'
'-x,y,z'
'x,-y,z+1/2'
loop_
_atom_site_label
_atom_site_fract_x
_atom_site_fract_y
_atom_site_fract_z
Re1 0.000 0.180 0.000
Pd1 0.500 0.470 0.427
N1 0.500 0.273 0.141
O1 0.000 0.071 0.688
# E above lowest polymorph (eV/atom): 0.0518


(3)
# PBE ScPdNO, optimized geometry
data_ScPdNO
_chemical_formula_sum 'Sc2 Pd2 N2 O2'
_symmetry_space_group_name_H-M 'P m c 21'
_symmetry_Int_Tables_number 26
_cell_length_a 3.265
_cell_length_b 5.979
_cell_length_c 5.701
_cell_angle_alpha 90.00
_cell_angle_beta 90.00
_cell_angle_gamma 90.00
loop_
_symmetry_equiv_pos_as_xyz
'x,y,z'
'-x,-y,z+1/2'
'-x,y,z'
'x,-y,z+1/2'
loop_
_atom_site_label
_atom_site_fract_x
_atom_site_fract_y
_atom_site_fract_z
Sc1 0.000 0.201 0.000
Pd1 0.500 0.249 0.516
N1 0.000 0.125 0.358
O1 0.500 0.360 0.886
# E above lowest polymorph (eV/atom): 0.3180


(4)
# PBE ScPdNO, optimized geometry
data_ScPdNO
_chemical_formula_sum 'Sc4 Pd4 N4 O4'
_symmetry_space_group_name_H-M 'P c a 21'
_symmetry_Int_Tables_number 29
_cell_length_a 5.325
_cell_length_b 7.254
_cell_length_c 5.219
_cell_angle_alpha 90.00
_cell_angle_beta 90.00
_cell_angle_gamma 90.00
loop_
_symmetry_equiv_pos_as_xyz
'x,y,z'
'-x,-y,z+1/2'
'-x+1/2,y,z+1/2'
'x+1/2,-y,z'
loop_
_atom_site_label
_atom_site_fract_x
_atom_site_fract_y
_atom_site_fract_z
Sc1 0.041 0.126 0.000
Pd1 0.055 0.461 0.620
N1 0.140 0.330 0.292
O1 0.248 0.958 0.242
# E above lowest polymorph (eV/atom): 0.0000


(5)
# PBE ScPdNO, optimized geometry
data_ScPdNO
_chemical_formula_sum 'Sc2 Pd2 N2 O2'
_symmetry_space_group_name_H-M 'P m c 21'
_symmetry_Int_Tables_number 26
_cell_length_a 3.816
_cell_length_b 6.815
_cell_length_c 4.134
_cell_angle_alpha 90.00
_cell_angle_beta 90.00
_cell_angle_gamma 90.00
loop_
_symmetry_equiv_pos_as_xyz
'x,y,z'
'-x,-y,z+1/2'
'-x,y,z'
'x,-y,z+1/2'
loop_
_atom_site_label
_atom_site_fract_x
_atom_site_fract_y
_atom_site_fract_z
Sc1 0.000 0.177 0.000
Pd1 0.500 0.381 0.498
N1 0.500 0.315 0.998
O1 0.000 0.125 0.500
# E above lowest polymorph (eV/atom): 0.0947


(6)
# PBE ScPdNO, optimized geometry
data_ScPdNO
_chemical_formula_sum 'Sc2 Pd2 N2 O2'
_symmetry_space_group_name_H-M 'P 4/n m m'
_symmetry_Int_Tables_number 129
_cell_length_a 4.077
_cell_length_b 4.077
_cell_length_c 6.428
_cell_angle_alpha 90.00
_cell_angle_beta 90.00
_cell_angle_gamma 90.00
loop_
_symmetry_equiv_pos_as_xyz
'x,y,z'
'-x,-y,-z'
'-y+1/2,x,z'
'y+1/2,-x,-z'
'-x+1/2,-y+1/2,z'
'x+1/2,y+1/2,-z'
'y,-x+1/2,z'
'-y,x+1/2,-z'
'x+1/2,-y,-z'
'-x+1/2,y,z'
'-y,-x,-z'
'y,x,z'
'-x,y+1/2,-z'
'x,-y+1/2,z'
'y+1/2,x+1/2,-z'
'-y+1/2,-x+1/2,z'
loop_
_atom_site_label
_atom_site_fract_x
_atom_site_fract_y
_atom_site_fract_z
Sc1 0.250 0.250 0.115
Pd1 0.250 0.750 0.500
N1 0.250 0.250 0.434
O1 0.250 0.750 0.000
# E above lowest polymorph (eV/atom): 0.0441


(7)
# PBE ScPdNO, optimized geometry
data_ScPdNO
_chemical_formula_sum 'Sc2 Pd2 N2 O2'
_symmetry_space_group_name_H-M 'P 4/n m m'
_symmetry_Int_Tables_number 129
_cell_length_a 4.535
_cell_length_b 4.535
_cell_length_c 4.355
_cell_angle_alpha 90.00
_cell_angle_beta 90.00
_cell_angle_gamma 90.00
loop_
_symmetry_equiv_pos_as_xyz
'x,y,z'
'-x,-y,-z'
'-y+1/2,x,z'
'y+1/2,-x,-z'
'-x+1/2,-y+1/2,z'
'x+1/2,y+1/2,-z'
'y,-x+1/2,z'
'-y,x+1/2,-z'
'x+1/2,-y,-z'
'-x+1/2,y,z'
'-y,-x,-z'
'y,x,z'
'-x,y+1/2,-z'
'x,-y+1/2,z'
'y+1/2,x+1/2,-z'
'-y+1/2,-x+1/2,z'
loop_
_atom_site_label
_atom_site_fract_x
_atom_site_fract_y
_atom_site_fract_z
Sc1 0.250 0.750 0.000
Pd1 0.250 0.250 0.495
N1 0.250 0.250 0.995
O1 0.250 0.750 0.500
# E above lowest polymorph (eV/atom): 0.2393


(8)
# PBE SmPdNO, optimized geometry
data_SmPdNO
_chemical_formula_sum 'Sm2 Pd2 N2 O2'
_symmetry_space_group_name_H-M 'P 4/n m m'
_symmetry_Int_Tables_number 129
_cell_length_a 4.905
_cell_length_b 4.905
_cell_length_c 4.556
_cell_angle_alpha 90.00
_cell_angle_beta 90.00
_cell_angle_gamma 90.00
loop_
_symmetry_equiv_pos_as_xyz
'x,y,z'
'-x,-y,-z'
'-y+1/2,x,z'
'y+1/2,-x,-z'
'-x+1/2,-y+1/2,z'
'x+1/2,y+1/2,-z'
'y,-x+1/2,z'
'-y,x+1/2,-z'
'x+1/2,-y,-z'
'-x+1/2,y,z'
'-y,-x,-z'
'y,x,z'
'-x,y+1/2,-z'
'x,-y+1/2,z'
'y+1/2,x+1/2,-z'
'-y+1/2,-x+1/2,z'
loop_
_atom_site_label
_atom_site_fract_x
_atom_site_fract_y
_atom_site_fract_z
Sm1 0.250 0.750 0.000
Pd1 0.250 0.250 0.500
N1 0.250 0.250 0.001
O1 0.250 0.750 0.500
# E above lowest polymorph (eV/atom): 0.4129


(9)
# PBE SmPdNO, optimized geometry
data_SmPdNO
_chemical_formula_sum 'Sm2 Pd2 N2 O2'
_symmetry_space_group_name_H-M 'P 4/n m m'
_symmetry_Int_Tables_number 129
_cell_length_a 4.173
_cell_length_b 4.173
_cell_length_c 7.398
_cell_angle_alpha 90.00
_cell_angle_beta 90.00
_cell_angle_gamma 90.00
loop_
_symmetry_equiv_pos_as_xyz
'x,y,z'
'-x,-y,-z'
'-y+1/2,x,z'
'y+1/2,-x,-z'
'-x+1/2,-y+1/2,z'
'x+1/2,y+1/2,-z'
'y,-x+1/2,z'
'-y,x+1/2,-z'
'x+1/2,-y,-z'
'-x+1/2,y,z'
'-y,-x,-z'
'y,x,z'
'-x,y+1/2,-z'
'x,-y+1/2,z'
'y+1/2,x+1/2,-z'
'-y+1/2,-x+1/2,z'
loop_
_atom_site_label
_atom_site_fract_x
_atom_site_fract_y
_atom_site_fract_z
Sm1 0.250 0.250 0.139
Pd1 0.250 0.750 0.500
N1 0.250 0.250 0.451
O1 0.250 0.750 0.000
# E above lowest polymorph (eV/atom): 0.0654


(10)
# PBE SmPdNO, optimized geometry
data_SmPdNO
_chemical_formula_sum 'Sm4 Pd4 N4 O4'
_symmetry_space_group_name_H-M 'P c a 21'
_symmetry_Int_Tables_number 29
_cell_length_a 5.612
_cell_length_b 7.820
_cell_length_c 5.526
_cell_angle_alpha 90.00
_cell_angle_beta 90.00
_cell_angle_gamma 90.00
loop_
_symmetry_equiv_pos_as_xyz
'x,y,z'
'-x,-y,z+1/2'
'-x+1/2,y,z+1/2'
'x+1/2,-y,z'
loop_
_atom_site_label
_atom_site_fract_x
_atom_site_fract_y
_atom_site_fract_z
Sm1 0.032 0.145 0.000
Pd1 0.062 0.468 0.636
N1 0.144 0.355 0.321
O1 0.249 0.973 0.246
# E above lowest polymorph (eV/atom): 0.0000


(11)
# PBE SmPdNO, optimized geometry
data_SmPdNO
_chemical_formula_sum 'Sm2 Pd2 N2 O2'
_symmetry_space_group_name_H-M 'P m c 21'
_symmetry_Int_Tables_number 26
_cell_length_a 3.888
_cell_length_b 5.167
_cell_length_c 5.466
_cell_angle_alpha 90.00
_cell_angle_beta 90.00
_cell_angle_gamma 90.00
loop_
_symmetry_equiv_pos_as_xyz
'x,y,z'
'-x,-y,z+1/2'
'-x,y,z'
'x,-y,z+1/2'
loop_
_atom_site_label
_atom_site_fract_x
_atom_site_fract_y
_atom_site_fract_z
Sm1 0.000 0.193 0.000
Pd1 0.500 0.345 0.507
N1 0.000 0.328 0.581
O1 0.500 0.065 0.228
# E above lowest polymorph (eV/atom): 0.3491


(12)
# PBE SmPdNO, optimized geometry
data_SmPdNO
_chemical_formula_sum 'Sm2 Pd2 N2 O2'
_symmetry_space_group_name_H-M 'P m c 21'
_symmetry_Int_Tables_number 26
_cell_length_a 4.067
_cell_length_b 6.883
_cell_length_c 4.564
_cell_angle_alpha 90.00
_cell_angle_beta 90.00
_cell_angle_gamma 90.00
loop_
_symmetry_equiv_pos_as_xyz
'x,y,z'
'-x,-y,z+1/2'
'-x,y,z'
'x,-y,z+1/2'
loop_
_atom_site_label
_atom_site_fract_x
_atom_site_fract_y
_atom_site_fract_z
Sm1 0.000 0.191 0.000
Pd1 0.500 0.386 0.492
N1 0.500 0.331 0.932
O1 0.000 0.136 0.495
# E above lowest polymorph (eV/atom): 0.2853


(13)
# PBE SnPdNO, optimized geometry
data_SnPdNO
_chemical_formula_sum 'Sn2 Pd2 N2 O2'
_symmetry_space_group_name_H-M 'P m c 21'
_symmetry_Int_Tables_number 26
_cell_length_a 3.501
_cell_length_b 6.575
_cell_length_c 5.387
_cell_angle_alpha 90.00
_cell_angle_beta 90.00
_cell_angle_gamma 90.00
loop_
_symmetry_equiv_pos_as_xyz
'x,y,z'
'-x,-y,z+1/2'
'-x,y,z'
'x,-y,z+1/2'
loop_
_atom_site_label
_atom_site_fract_x
_atom_site_fract_y
_atom_site_fract_z
Sn1 0.000 0.162 0.000
Pd1 0.500 0.452 0.546
N1 0.500 0.278 0.854
O1 0.000 0.127 0.368
# E above lowest polymorph (eV/atom): 0.0275


(14)
# PBE SnPdNO, optimized geometry
data_SnPdNO
_chemical_formula_sum 'Sn2 Pd2 N2 O2'
_symmetry_space_group_name_H-M 'P 4/n m m'
_symmetry_Int_Tables_number 129
_cell_length_a 4.688
_cell_length_b 4.688
_cell_length_c 4.554
_cell_angle_alpha 90.00
_cell_angle_beta 90.00
_cell_angle_gamma 90.00
loop_
_symmetry_equiv_pos_as_xyz
'x,y,z'
'-x,-y,-z'
'-y+1/2,x,z'
'y+1/2,-x,-z'
'-x+1/2,-y+1/2,z'
'x+1/2,y+1/2,-z'
'y,-x+1/2,z'
'-y,x+1/2,-z'
'x+1/2,-y,-z'
'-x+1/2,y,z'
'-y,-x,-z'
'y,x,z'
'-x,y+1/2,-z'
'x,-y+1/2,z'
'y+1/2,x+1/2,-z'
'-y+1/2,-x+1/2,z'
loop_
_atom_site_label
_atom_site_fract_x
_atom_site_fract_y
_atom_site_fract_z
Sn1 0.250 0.750 0.000
Pd1 0.250 0.250 0.497
N1 0.250 0.250 0.994
O1 0.250 0.750 0.500
# E above lowest polymorph (eV/atom): 0.2505


(15)
# PBE SnPdNO, optimized geometry
data_SnPdNO
_chemical_formula_sum 'Sn2 Pd2 N2 O2'
_symmetry_space_group_name_H-M 'P 4/n m m'
_symmetry_Int_Tables_number 129
_cell_length_a 3.925
_cell_length_b 3.925
_cell_length_c 8.311
_cell_angle_alpha 90.00
_cell_angle_beta 90.00
_cell_angle_gamma 90.00
loop_
_symmetry_equiv_pos_as_xyz
'x,y,z'
'-x,-y,-z'
'-y+1/2,x,z'
'y+1/2,-x,-z'
'-x+1/2,-y+1/2,z'
'x+1/2,y+1/2,-z'
'y,-x+1/2,z'
'-y,x+1/2,-z'
'x+1/2,-y,-z'
'-x+1/2,y,z'
'-y,-x,-z'
'y,x,z'
'-x,y+1/2,-z'
'x,-y+1/2,z'
'y+1/2,x+1/2,-z'
'-y+1/2,-x+1/2,z'
loop_
_atom_site_label
_atom_site_fract_x
_atom_site_fract_y
_atom_site_fract_z
Sn1 0.250 0.250 0.136
Pd1 0.250 0.750 0.500
N1 0.250 0.250 0.587
O1 0.250 0.750 0.000
# E above lowest polymorph (eV/atom): 0.1685


(16)
# PBE SnPdNO, optimized geometry
data_SnPdNO
_chemical_formula_sum 'Sn4 Pd4 N4 O4'
_symmetry_space_group_name_H-M 'P c a 21'
_symmetry_Int_Tables_number 29
_cell_length_a 5.292
_cell_length_b 7.626
_cell_length_c 5.258
_cell_angle_alpha 90.00
_cell_angle_beta 90.00
_cell_angle_gamma 90.00
loop_
_symmetry_equiv_pos_as_xyz
'x,y,z'
'-x,-y,z+1/2'
'-x+1/2,y,z+1/2'
'x+1/2,-y,z'
loop_
_atom_site_label
_atom_site_fract_x
_atom_site_fract_y
_atom_site_fract_z
Sn1 0.006 0.164 0.000
Pd1 0.042 0.449 0.628
N1 0.165 0.310 0.315
O1 0.166 0.935 0.164
# E above lowest polymorph (eV/atom): 0.0000


(17)
# PBE SnPdNO, optimized geometry
data_SnPdNO
_chemical_formula_sum 'Sn2 Pd2 N2 O2'
_symmetry_space_group_name_H-M 'P m c 21'
_symmetry_Int_Tables_number 26
_cell_length_a 3.305
_cell_length_b 6.163
_cell_length_c 5.961
_cell_angle_alpha 90.00
_cell_angle_beta 90.00
_cell_angle_gamma 90.00
loop_
_symmetry_equiv_pos_as_xyz
'x,y,z'
'-x,-y,z+1/2'
'-x,y,z'
'x,-y,z+1/2'
loop_
_atom_site_label
_atom_site_fract_x
_atom_site_fract_y
_atom_site_fract_z
Sn1 0.000 0.163 0.000
Pd1 0.500 0.259 0.524
N1 0.000 0.147 0.351
O1 0.500 0.348 0.927
# E above lowest polymorph (eV/atom): 0.1227


(18)
# PBE SnPdNO, optimized geometry
data_SnPdNO
_chemical_formula_sum 'Sn2 Pd2 N2 O2'
_symmetry_space_group_name_H-M 'P 4/n m m'
_symmetry_Int_Tables_number 129
_cell_length_a 3.930
_cell_length_b 3.930
_cell_length_c 8.189
_cell_angle_alpha 90.00
_cell_angle_beta 90.00
_cell_angle_gamma 90.00
loop_
_symmetry_equiv_pos_as_xyz
'x,y,z'
'-x,-y,-z'
'-y+1/2,x,z'
'y+1/2,-x,-z'
'-x+1/2,-y+1/2,z'
'x+1/2,y+1/2,-z'
'y,-x+1/2,z'
'-y,x+1/2,-z'
'x+1/2,-y,-z'
'-x+1/2,y,z'
'-y,-x,-z'
'y,x,z'
'-x,y+1/2,-z'
'x,-y+1/2,z'
'y+1/2,x+1/2,-z'
'-y+1/2,-x+1/2,z'
loop_
_atom_site_label
_atom_site_fract_x
_atom_site_fract_y
_atom_site_fract_z
Sn1 0.250 0.250 0.138
Pd1 0.250 0.750 0.500
N1 0.250 0.250 0.588
O1 0.250 0.750 0.000
# E above lowest polymorph (eV/atom): 0.1710


(19)
# PBE SnPdNO, optimized geometry
data_SnPdNO
_chemical_formula_sum 'Sn4 Pd4 N4 O4'
_symmetry_space_group_name_H-M 'P c a 21'
_symmetry_Int_Tables_number 29
_cell_length_a 5.804
_cell_length_b 7.152
_cell_length_c 5.348
_cell_angle_alpha 90.00
_cell_angle_beta 90.00
_cell_angle_gamma 90.00
loop_
_symmetry_equiv_pos_as_xyz
'x,y,z'
'-x,-y,z+1/2'
'-x+1/2,y,z+1/2'
'x+1/2,-y,z'
loop_
_atom_site_label
_atom_site_fract_x
_atom_site_fract_y
_atom_site_fract_z
Sn1 0.056 0.150 0.000
Pd1 0.159 0.668 0.056
N1 0.097 0.109 0.610
O1 0.011 0.400 0.199
# E above lowest polymorph (eV/atom): 0.1950


(20)
# PBE Sr2Pd2NO5, optimized geometry
data_Sr2Pd2NO5
_chemical_formula_sum 'Sr2 Pd2 N1 O5'
_symmetry_space_group_name_H-M 'P 4/m m m'
_symmetry_Int_Tables_number 123
_symmetry_space_group_name_Hall '-P 4 2'
_cell_length_a 4.085
_cell_length_b 4.085
_cell_length_c 7.663
_cell_angle_alpha 90.00
_cell_angle_beta 90.00
_cell_angle_gamma 90.00
loop_
_atom_site_label
_atom_site_fract_x
_atom_site_fract_y
_atom_site_fract_z
Sr1 0.000 0.000 0.000
Sr2 0.000 0.000 0.500
Pd1 0.500 0.500 0.241
N1 0.500 0.500 0.000
O1 0.000 0.500 0.263
O2 0.500 0.500 0.500
# DFT total energy (eV/cell): -55.978


(21)
# PBE TbPdNO, optimized geometry
data_TbPdNO
_chemical_formula_sum 'Tb4 Pd4 N4 O4'
_symmetry_space_group_name_H-M 'P c a 21'
_symmetry_Int_Tables_number 29
_cell_length_a 5.550
_cell_length_b 7.678
_cell_length_c 5.458
_cell_angle_alpha 90.00
_cell_angle_beta 90.00
_cell_angle_gamma 90.00
loop_
_symmetry_equiv_pos_as_xyz
'x,y,z'
'-x,-y,z+1/2'
'-x+1/2,y,z+1/2'
'x+1/2,-y,z'
loop_
_atom_site_label
_atom_site_fract_x
_atom_site_fract_y
_atom_site_fract_z
Tb1 0.035 0.141 0.000
Pd1 0.059 0.468 0.631
N1 0.146 0.349 0.315
O1 0.249 0.970 0.246
# E above lowest polymorph (eV/atom): 0.0000


(22)
# PBE TbPdNO, optimized geometry
data_TbPdNO
_chemical_formula_sum 'Tb2 Pd2 N2 O2'
_symmetry_space_group_name_H-M 'P m c 21'
_symmetry_Int_Tables_number 26
_cell_length_a 4.042
_cell_length_b 5.196
_cell_length_c 5.103
_cell_angle_alpha 90.00
_cell_angle_beta 90.00
_cell_angle_gamma 90.00
loop_
_symmetry_equiv_pos_as_xyz
'x,y,z'
'-x,-y,z+1/2'
'-x,y,z'
'x,-y,z+1/2'
loop_
_atom_site_label
_atom_site_fract_x
_atom_site_fract_y
_atom_site_fract_z
Tb1 0.000 0.232 0.000
Pd1 0.500 0.330 0.521
N1 0.000 0.297 0.454
O1 0.500 0.110 0.854
# E above lowest polymorph (eV/atom): 0.3718